[1]
Here is a relaxed SrSb2Pd5Au crystal from Alexandria via LeMat-Bulk. Energies are from GGA-PBE.

Cell and atoms, written as CIF:
```
data_SrSb2Pd5Au
_cell_length_a 5.0931
_cell_length_b 5.0931
_cell_length_c 7.9165
_cell_angle_alpha 90.00
_cell_angle_beta 90.00
_cell_angle_gamma 90.00
_space_group_name_H-M_alt 'P 4/m m m'
_space_group_IT_number 123
_space_group_name_Hall '-P 4 2'
loop_
_atom_site_label
_atom_site_type_symbol
_atom_site_fract_x
_atom_site_fract_y
_atom_site_fract_z
_atom_site_occupancy
Sr1 Sr 0.0000 0.0000 0.0000 1
Sb1 Sb 0.5000 0.5000 0.3164 1
Pd1 Pd 0.0000 0.5000 0.3193 1
Pd2 Pd 0.5000 0.5000 0.0000 1
Au1 Au 0.0000 0.0000 0.5000 1
```

Calculated values
Total DFT energy (no corrections)   -4.5800 eV per atom
E_form (uncorrected)   -0.2280 eV/atom
Fermi-level density of states   3.721 states/eV/cell

[2]
Here is a relaxed Li5Zn4Cu2 crystal from Alexandria via LeMat-Bulk. Energies are from GGA-PBE.

Cell and atoms, written as CIF:
```
data_Li5Zn4Cu2
_cell_length_a 2.6173
_cell_length_b 8.0858
_cell_length_c 16.7300
_cell_angle_alpha 90.00
_cell_angle_beta 90.00
_cell_angle_gamma 90.00
_space_group_name_H-M_alt 'I m m m'
_space_group_IT_number 71
_space_group_name_Hall '-I 2 2'
loop_
_atom_site_label
_atom_site_type_symbol
_atom_site_fract_x
_atom_site_fract_y
_atom_site_fract_z
_atom_site_occupancy
Li1 Li 0.0000 0.0000 0.0000 1
Li2 Li 0.0000 0.2726 0.3438 1
Zn1 Zn 0.0000 0.2113 0.5000 1
Zn2 Zn 0.0000 0.5000 0.2308 1
Cu1 Cu 0.0000 0.5000 0.0838 1
```

Calculated values
Calculated formation energy   -6 kJ per mole of atoms
Total DFT energy (no corrections)   -2.1376 eV per atom
Fermi-level density of states   8.246 states/eV/cell

[3]
Here is a relaxed Dy7Er2Pu crystal from Alexandria via LeMat-Bulk. Energies are from GGA-PBE.

Cell and atoms, written as CIF:
```
data_Dy7Er2Pu
_cell_length_a 11.8874
_cell_length_b 16.4297
_cell_length_c 3.4238
_cell_angle_alpha 90.00
_cell_angle_beta 90.00
_cell_angle_gamma 90.00
_space_group_name_H-M_alt 'C m m m'
_space_group_IT_number 65
_space_group_name_Hall '-C 2 2'
loop_
_atom_site_label
_atom_site_type_symbol
_atom_site_fract_x
_atom_site_fract_y
_atom_site_fract_z
_atom_site_occupancy
Dy1 Dy 0.0000 0.0000 0.0000 1
Dy2 Dy 0.0000 0.1745 0.5000 1
Dy3 Dy 0.2414 0.1303 0.0000 1
Er1 Er 0.0000 0.3358 0.0000 1
Pu1 Pu 0.0000 0.5000 0.5000 1
```

Calculated values
Calculated formation energy   46 kJ per mole of atoms
Total DFT energy (no corrections)   -5.0954 eV per atom
Fermi-level density of states   42.887 states/eV/cell